Record 1
Crystalline Li2Al6W at its relaxed geometry. Source: the Alexandria database, functional GGA-PBE.

Unit cell a=8.157 b=8.157 c=4.266 alpha=90.00 beta=90.00 gamma=90.00
Space group P4_2/mnm (No. 136)
One atom of each set of equivalent atoms:
Li 0.196 0.196 0.000 [4 per cell]
Al 0.023 0.331 0.500 [8 per cell]
Al 0.132 0.868 0.000 [4 per cell]
W 0.000 0.000 0.500 [2 per cell]

Calculated values
Relative energy among the computed polymorphs (meV/atom): 0
Energy (eV/f.u.): -39.36
Total moment (μB per formula unit): 0.00
Energy relative to the elements (eV/atom): -0.014
Calculated density (g/cm³): 4.21
D(E_F) (states/eV per atom): 0.5836
V (Å³/cell): 283.8

---

Record 2
Crystalline Fe2CoPt at its relaxed geometry. Source: the Alexandria database, functional GGA-PBE.

Unit cell a=2.6660 b=2.6660 c=25.1400 alpha=90.00 beta=90.00 gamma=120.00
Space group R-3m (No. 166, hexagonal axes)
One atom of each set of equivalent atoms:
Fe 0.0000 0.0000 0.2448 [6 per cell]
Co 0.0000 0.0000 0.5000 [3 per cell]
Pt 0.0000 0.0000 0.0000 [3 per cell]

Calculated values
Energy (eV/f.u.): -30.15
Total moment (μB per formula unit): 7.33
Energy relative to the elements (eV/atom): -0.020
Calculated density (g/cm³): 11.77
D(E_F) (states/eV per atom): 1.0375
V (Å³/cell): 154.7

---

Record 3
Crystalline Rb2PmIrO4 at its relaxed geometry. Source: the Alexandria database, functional GGA-PBE.

Unit cell a=6.460 b=6.460 c=7.417 alpha=90.00 beta=90.00 gamma=90.00
Space group I-4 (No. 82)
One atom of each set of equivalent atoms:
Rb 0.000 0.000 0.000 [2 per cell]
Rb 0.000 0.500 0.250 [2 per cell]
Pm 0.000 0.000 0.500 [2 per cell]
Ir 0.000 0.500 0.750 [2 per cell]
O 0.134 0.771 0.700 [8 per cell]

Calculated values
E_form (uncorrected) (eV per formula unit): -12.702
Energy (eV/f.u.): -48.08
Total moment (μB per formula unit): 2.00
Calculated density (g/cm³): 6.14
D(E_F) (states/eV per atom): 0.5627
V (Å³/cell): 309.5

---

Record 4
Crystalline ZrSc2Cr at its relaxed geometry. Source: the Alexandria database, functional GGA-PBE.

Unit cell a=3.0574 b=3.0574 c=31.2436 alpha=90.00 beta=90.00 gamma=120.00
Space group R-3m (No. 166, hexagonal axes)
One atom of each set of equivalent atoms:
Zr 0.0000 0.0000 0.0000 [3 per cell]
Sc 0.0000 0.0000 0.0980 [6 per cell]
Cr 0.0000 0.0000 0.5000 [3 per cell]

Calculated values
Relative energy among the computed polymorphs (meV/atom): 251
Energy (eV/f.u.): -29.21
Total moment (μB per formula unit): 2.51
Energy relative to the elements (eV/atom): 0.405
Calculated density (g/cm³): 4.59
D(E_F) (states/eV per atom): 0.9742
V (Å³/cell): 252.9

---

Record 5
Crystalline RbSrCuOs2 at its relaxed geometry. Source: the Alexandria database, functional GGA-PBE.

Unit cell a=4.988 b=4.988 c=5.122 alpha=90.00 beta=90.00 gamma=90.00
Space group P4/mmm (No. 123)
One atom of each set of equivalent atoms:
Rb 0.000 0.000 0.000 [1 per cell]
Sr 0.500 0.500 0.500 [1 per cell]
Cu 0.000 0.000 0.500 [1 per cell]
Os 0.000 0.500 0.000 [2 per cell]

Calculated values
Energy (eV/f.u.): -16.07
Total moment (μB per formula unit): 1.00
Energy relative to the elements (eV/atom): 2.627
Calculated density (g/cm³): 8.04
D(E_F) (states/eV per atom): 1.4876
V (Å³/cell): 127.4

---

Record 6
Crystalline AcSm2Pb at its relaxed geometry. Source: the Alexandria database, functional GGA-PBE.

Unit cell a=5.130 b=5.130 c=4.993 alpha=90.00 beta=90.00 gamma=90.00
Space group P4/mmm (No. 123)
One atom of each set of equivalent atoms:
Ac 0.000 0.000 0.000 [1 per cell]
Sm 0.000 0.500 0.500 [2 per cell]
Pb 0.500 0.500 0.000 [1 per cell]

Calculated values
Relative energy among the computed polymorphs (meV/atom): 0
Energy (eV/f.u.): -18.34
Total moment (μB per formula unit): 0.00
Energy relative to the elements (eV/atom): -0.270
Calculated density (g/cm³): 9.29
D(E_F) (states/eV per atom): 1.4233
V (Å³/cell): 131.4

---

Record 7
Crystalline CaLa3Tc at its relaxed geometry. Source: the Alexandria database, functional GGA-PBE.

Unit cell a=3.828 b=6.893 c=18.301 alpha=90.00 beta=90.00 gamma=90.00
Space group Amm2 (No. 38)
One atom of each set of equivalent atoms:
Ca 0.000 0.000 0.000 [2 per cell]
La 0.000 0.250 0.181 [4 per cell]
La 0.500 0.000 0.808 [2 per cell]
Tc 0.500 0.000 0.636 [2 per cell]

Calculated values
Relative energy among the computed polymorphs (meV/atom): 677
Energy (eV/f.u.): -23.84
Total moment (μB per formula unit): 0.00
Energy relative to the elements (eV/atom): 0.662
Calculated density (g/cm³): 3.82
D(E_F) (states/eV per atom): 1.2210
V (Å³/cell): 482.8

---

Record 8
Crystalline MnBiPdRh at its relaxed geometry. Source: the Alexandria database, functional GGA-PBE.

Unit cell a=6.538 b=6.538 c=6.538 alpha=90.00 beta=90.00 gamma=90.00
Space group F-43m (No. 216)
One atom of each set of equivalent atoms:
Mn 0.000 0.000 0.000 [4 per cell]
Bi 0.000 0.000 0.500 [4 per cell]
Pd 0.250 0.250 0.250 [4 per cell]
Rh 0.250 0.250 0.750 [4 per cell]

Calculated values
Energy (eV/f.u.): -25.92
Total moment (μB per formula unit): 4.38
Energy relative to the elements (eV/atom): -0.081
Calculated density (g/cm³): 11.25
D(E_F) (states/eV per atom): 0.8123
V (Å³/cell): 279.5

---

Record 9
Crystalline TlInCo2 at its relaxed geometry. Source: the Alexandria database, functional GGA-PBE.

Unit cell a=10.802 b=2.994 c=4.496 alpha=90.00 beta=108.92 gamma=90.00
Space group Cm (No. 8)
One atom of each set of equivalent atoms:
Tl 0.000 0.000 0.000 [2 per cell]
In 0.213 0.000 0.653 [2 per cell]
Co 0.263 0.500 0.191 [2 per cell]
Co 0.441 0.000 0.456 [2 per cell]

Calculated values
Relative energy among the computed polymorphs (meV/atom): 82
Energy (eV/f.u.): -17.69
Total moment (μB per formula unit): 2.69
Energy relative to the elements (eV/atom): 0.406
Calculated density (g/cm³): 10.55
D(E_F) (states/eV per atom): 1.3066
V (Å³/cell): 137.6

---

Record 10
Crystalline Y2Er4C at its relaxed geometry. Source: the Alexandria database, functional GGA-PBE.

Unit cell a=4.794 b=4.794 c=17.824 alpha=90.00 beta=90.00 gamma=90.00
Space group I4/mmm (No. 139)
One atom of each set of equivalent atoms:
Y 0.000 0.000 0.174 [4 per cell]
Er 0.000 0.000 0.368 [4 per cell]
Er 0.000 0.500 0.000 [4 per cell]
C 0.000 0.000 0.500 [2 per cell]

Calculated values
Energy (eV/f.u.): -39.65
Total moment (μB per formula unit): 0.00
Energy relative to the elements (eV/atom): 0.107
Calculated density (g/cm³): 6.96
D(E_F) (states/eV per atom): 1.5096
V (Å³/cell): 409.7

---

Record 11
Crystalline InCu2Cl at its relaxed geometry. Source: the Alexandria database, functional GGA-PBE.

Unit cell a=3.172 b=3.172 c=7.712 alpha=90.00 beta=90.00 gamma=90.00
Space group P4mm (No. 99)
One atom of each set of equivalent atoms:
In 0.000 0.000 0.000 [1 per cell]
Cu 0.000 0.000 0.610 [1 per cell]
Cu 0.500 0.500 0.773 [1 per cell]
Cl 0.500 0.500 0.438 [1 per cell]

Calculated values
E_form (uncorrected) (eV per formula unit): 0.035
Relative energy among the computed polymorphs (meV/atom): 105
Energy (eV/f.u.): -12.74
Total moment (μB per formula unit): 0.00
Calculated density (g/cm³): 5.94
D(E_F) (states/eV per atom): 0.3323
V (Å³/cell): 77.6

---

Record 12
Crystalline Li4Np3MnSe8 at its relaxed geometry. Source: the Alexandria database, functional GGA-PBE.

Unit cell a=13.791 b=8.064 c=7.962 alpha=90.00 beta=124.28 gamma=90.00
Space group C2/m (No. 12)
One atom of each set of equivalent atoms:
Li 0.000 0.000 0.000 [2 per cell]
Li 0.000 0.500 0.000 [2 per cell]
Li 0.250 0.250 0.500 [4 per cell]
Np 0.000 0.000 0.500 [2 per cell]
Np 0.250 0.250 0.000 [4 per cell]
Mn 0.000 0.500 0.500 [2 per cell]
Se 0.003 0.258 0.256 [8 per cell]
Se 0.246 0.500 0.253 [4 per cell]
Se 0.246 0.500 0.742 [4 per cell]

Calculated values
E_form (uncorrected) (eV per formula unit): -17.145
Energy (eV/f.u.): -100.67
Total moment (μB per formula unit): 1.12
Calculated density (g/cm³): 6.47
D(E_F) (states/eV per atom): 1.4912
V (Å³/cell): 731.6

---

Record 13
Crystalline SbTe3N at its relaxed geometry. Source: the Alexandria database, functional GGA-PBE.

Unit cell a=4.881 b=4.881 c=4.881 alpha=90.00 beta=90.00 gamma=90.00
Space group Pm-3m (No. 221)
One atom of each set of equivalent atoms:
Sb 0.000 0.000 0.000 [1 per cell]
Te 0.000 0.500 0.500 [3 per cell]
N 0.500 0.500 0.500 [1 per cell]

Calculated values
E_form (uncorrected) (eV per formula unit): 3.317
Relative energy among the computed polymorphs (meV/atom): 0
Energy (eV/f.u.): -18.56
Total moment (μB per formula unit): 0.00
Calculated density (g/cm³): 7.40
D(E_F) (states/eV per atom): 0.6984
V (Å³/cell): 116.3